[1]
Pr6HgIr2Br3 | PBE | relaxed

Output
Total energy (eV per atom): -5.3006
Space-group type: C2/m

Cell lengths 7.422, 7.422, 8.212 Å; angles 98.63, 98.63, 120.07 degrees
Element x y z (fractional)
Pr 0.071 0.432 0.797
Pr 0.206 0.206 0.203
Pr 0.432 0.071 0.797
Pr 0.568 0.929 0.203
Pr 0.794 0.794 0.797
Pr 0.929 0.568 0.203
Hg 0.500 0.500 0.000
Ir 0.167 0.833 0.000
Ir 0.833 0.167 0.000
Br 0.000 0.000 0.500
Br 0.333 0.667 0.500
Br 0.667 0.333 0.500

***

[2]
Pr4HgIrBr2 | PBE | relaxed

Output
Total energy (eV per atom): -4.8757
Space-group type: P2/m

Cell lengths 7.823, 4.168, 8.314 Å; angles 90.00, 109.64, 90.00 degrees
Element x y z (fractional)
Pr 0.213 0.000 0.290
Pr 0.232 0.500 0.701
Pr 0.768 0.500 0.299
Pr 0.787 0.000 0.710
Hg 0.500 0.500 0.500
Ir 0.000 0.000 0.500
Br 0.000 0.500 0.000
Br 0.500 0.000 0.000

***

Uncorrected formation energy, record by record: -11.9 -7.4 eV per formula unit